Entry 1:
# Pm4Ho2Mg PBE optimized geometry
# - Total magnetization: 0.002 μB per formula unit
# - Electronic total energy: -4.167 eV per atom
# - Energy relative to the elements: 0.083 eV per atom
# - Energy above the lowest structure with this stoichiometry: 0.039 eV per atom
# - Space-group type: R-3m (166)
data_Pm4Ho2Mg
_chemical_formula_sum 'Pm4 Ho2 Mg1'
_symmetry_space_group_name_H-M 'P 1'
_symmetry_Int_Tables_number 1
_symmetry_space_group_name_Hall 'P 1'
_cell_length_a 5.6474
_cell_length_b 5.6474
_cell_length_c 8.7321
_cell_angle_alpha 71.13
_cell_angle_beta 71.13
_cell_angle_gamma 60.00
loop_
_atom_site_label
_atom_site_type_symbol
_atom_site_fract_x
_atom_site_fract_y
_atom_site_fract_z
Pm1 Pm 0.2114 0.2114 0.3657
Pm2 Pm 0.0678 0.0678 0.7967
Pm3 Pm 0.9322 0.9322 0.2033
Pm4 Pm 0.7886 0.7886 0.6343
Mg1 Mg 0.5000 0.5000 0.5000
Ho1 Ho 0.6420 0.6420 0.0741
Ho2 Ho 0.3580 0.3580 0.9259

=====

Entry 2:
# PmHoMg PBE optimized geometry
# - Total magnetization: 0.000 μB per formula unit
# - Electronic total energy: -3.600 eV per atom
# - Energy relative to the elements: 0.041 eV per atom
# - Energy above the lowest structure with this stoichiometry: 0.087 eV per atom
# - Space-group type: P3m1 (156)
data_PmHoMg
_chemical_formula_sum 'Pm1 Ho1 Mg1'
_symmetry_space_group_name_H-M 'P 1'
_symmetry_Int_Tables_number 1
_symmetry_space_group_name_Hall 'P 1'
_cell_length_a 3.4182
_cell_length_b 5.4764
_cell_length_c 5.4764
_cell_angle_alpha 120.00
_cell_angle_beta 90.00
_cell_angle_gamma 90.00
loop_
_atom_site_label
_atom_site_type_symbol
_atom_site_fract_x
_atom_site_fract_y
_atom_site_fract_z
Ho1 Ho 0.3906 0.6667 0.3333
Pm1 Pm 0.9584 0.0000 0.0000
Mg1 Mg 0.6509 0.3333 0.6667